No. 1
DFT (PBE) results for a relaxed structure of NdSm3Tm12.

Summary:
Symmetry: P4/mmm
ΔH_f (0 K) (eV/atom): 0.026
Fermi-level density of states (states/eV/f.u.): 22.73
Crystal system: tetragonal

CIF file:
```
data_NdSm3Tm12
_space_group_name_H-M_alt 'P 1'
_space_group_IT_number 1
_space_group_name_Hall 'P 1'
_cell_length_a 4.985
_cell_length_b 4.985
_cell_length_c 19.963
_cell_angle_alpha 90.00
_cell_angle_beta 90.00
_cell_angle_gamma 90.00
loop_
_atom_site_label
_atom_site_type_symbol
_atom_site_fract_x
_atom_site_fract_y
_atom_site_fract_z
Nd1 Nd 0.000 0.000 0.000
Sm1 Sm 0.000 0.000 0.250
Sm2 Sm 0.000 0.000 0.500
Sm3 Sm 0.000 0.000 0.750
Tm1 Tm 0.000 0.500 0.126
Tm2 Tm 0.000 0.500 0.375
Tm3 Tm 0.000 0.500 0.625
Tm4 Tm 0.000 0.500 0.874
Tm5 Tm 0.500 0.000 0.126
Tm6 Tm 0.500 0.000 0.375
Tm7 Tm 0.500 0.000 0.625
Tm8 Tm 0.500 0.000 0.874
Tm9 Tm 0.500 0.500 0.000
Tm10 Tm 0.500 0.500 0.250
Tm11 Tm 0.500 0.500 0.500
Tm12 Tm 0.500 0.500 0.750
```



No. 2
DFT (PBE) results for a relaxed structure of K2CdNiN.

Summary:
Symmetry: P4/mmm
Fermi-level density of states (states/eV/f.u.): 0.94
Final energy (eV/f.u.): -17.096
Crystal system: tetragonal

CIF file:
```
data_K2CdNiN
_space_group_name_H-M_alt 'P 1'
_space_group_IT_number 1
_space_group_name_Hall 'P 1'
_cell_length_a 6.076
_cell_length_b 6.076
_cell_length_c 3.469
_cell_angle_alpha 90.00
_cell_angle_beta 90.00
_cell_angle_gamma 90.00
loop_
_atom_site_label
_atom_site_type_symbol
_atom_site_fract_x
_atom_site_fract_y
_atom_site_fract_z
K1 K 0.000 0.500 0.000
K2 K 0.500 0.000 0.000
Cd1 Cd 0.000 0.000 0.500
Ni1 Ni 0.500 0.500 0.500
N1 N 0.500 0.500 0.000
```



No. 3
DFT (PBE) results for a relaxed structure of Ca2Ge2Pb.

Summary:
Symmetry: Cmmm
ΔH_f (0 K) (eV/atom): -0.521
Fermi-level density of states (states/eV/f.u.): 1.85
Crystal system: orthorhombic

CIF file:
```
data_Ca2Ge2Pb
_space_group_name_H-M_alt 'P 1'
_space_group_IT_number 1
_space_group_name_Hall 'P 1'
_cell_length_a 7.938
_cell_length_b 7.938
_cell_length_c 4.378
_cell_angle_alpha 90.00
_cell_angle_beta 90.00
_cell_angle_gamma 151.18
loop_
_atom_site_label
_atom_site_type_symbol
_atom_site_fract_x
_atom_site_fract_y
_atom_site_fract_z
Ca1 Ca 0.136 0.864 0.000
Ca2 Ca 0.864 0.136 0.000
Ge1 Ge 0.301 0.699 0.500
Ge2 Ge 0.699 0.301 0.500
Pb1 Pb 0.500 0.500 0.500
```



No. 4
DFT (PBE) results for a relaxed structure of NpPaCoS4.

Summary:
Symmetry: P2_1/m
Fermi-level density of states (states/eV/f.u.): 8.16
Final energy (eV/f.u.): -54.856
Crystal system: monoclinic

CIF file:
```
data_NpPaCoS4
_space_group_name_H-M_alt 'P 1'
_space_group_IT_number 1
_space_group_name_Hall 'P 1'
_cell_length_a 6.301
_cell_length_b 5.757
_cell_length_c 7.496
_cell_angle_alpha 90.00
_cell_angle_beta 106.67
_cell_angle_gamma 90.00
loop_
_atom_site_label
_atom_site_type_symbol
_atom_site_fract_x
_atom_site_fract_y
_atom_site_fract_z
Np1 Np 0.250 0.250 0.062
Np2 Np 0.750 0.750 0.938
Pa1 Pa 0.245 0.250 0.557
Pa2 Pa 0.755 0.750 0.443
Co1 Co 0.236 0.750 0.312
Co2 Co 0.764 0.250 0.688
S1 S 0.019 0.510 0.757
S2 S 0.019 0.990 0.757
S3 S 0.420 0.750 0.605
S4 S 0.431 0.750 0.114
S5 S 0.569 0.250 0.886
S6 S 0.580 0.250 0.395
S7 S 0.981 0.010 0.243
S8 S 0.981 0.490 0.243
```



No. 5
DFT (PBE) results for a relaxed structure of Dy6SnSe5.

Summary:
Symmetry: C2/m
Fermi-level density of states (states/eV/f.u.): 4.96
Final energy (eV/f.u.): -68.142
Crystal system: monoclinic

CIF file:
```
data_Dy6SnSe5
_space_group_name_H-M_alt 'P 1'
_space_group_IT_number 1
_space_group_name_Hall 'P 1'
_cell_length_a 7.154
_cell_length_b 7.154
_cell_length_c 7.182
_cell_angle_alpha 99.54
_cell_angle_beta 99.54
_cell_angle_gamma 119.97
loop_
_atom_site_label
_atom_site_type_symbol
_atom_site_fract_x
_atom_site_fract_y
_atom_site_fract_z
Dy1 Dy 0.077 0.415 0.744
Dy2 Dy 0.245 0.245 0.253
Dy3 Dy 0.415 0.077 0.744
Dy4 Dy 0.585 0.923 0.256
Dy5 Dy 0.755 0.755 0.747
Dy6 Dy 0.923 0.585 0.256
Sn1 Sn 0.500 0.500 0.000
Se1 Se 0.000 0.000 0.500
Se2 Se 0.168 0.832 0.000
Se3 Se 0.336 0.664 0.500
Se4 Se 0.664 0.336 0.500
Se5 Se 0.832 0.168 0.000
```



No. 6
DFT (PBE) results for a relaxed structure of BiP2Se.

Summary:
Energy above the most stable polymorph in this dataset (meV per atom): 201
Symmetry: Fm-3m
Fermi-level density of states (states/eV/f.u.): 2.54
Crystal system: cubic

CIF file:
```
data_BiP2Se
_space_group_name_H-M_alt 'P 1'
_space_group_IT_number 1
_space_group_name_Hall 'P 1'
_cell_length_a 4.864
_cell_length_b 4.864
_cell_length_c 4.864
_cell_angle_alpha 60.00
_cell_angle_beta 60.00
_cell_angle_gamma 60.00
loop_
_atom_site_label
_atom_site_type_symbol
_atom_site_fract_x
_atom_site_fract_y
_atom_site_fract_z
Bi1 Bi 0.000 0.000 0.000
P1 P 0.250 0.250 0.250
P2 P 0.750 0.750 0.750
Se1 Se 0.500 0.500 0.500
```



No. 7
DFT (PBE) results for a relaxed structure of Sc8Cd2Bi.

Summary:
Symmetry: C2/m
ΔH_f (0 K) (eV/atom): -0.078
Fermi-level density of states (states/eV/f.u.): 17.92
Crystal system: monoclinic

CIF file:
```
data_Sc8Cd2Bi
_space_group_name_H-M_alt 'P 1'
_space_group_IT_number 1
_space_group_name_Hall 'P 1'
_cell_length_a 8.037
_cell_length_b 8.037
_cell_length_c 5.210
_cell_angle_alpha 101.85
_cell_angle_beta 101.85
_cell_angle_gamma 118.48
loop_
_atom_site_label
_atom_site_type_symbol
_atom_site_fract_x
_atom_site_fract_y
_atom_site_fract_z
Sc1 Sc 0.097 0.324 0.626
Sc2 Sc 0.222 0.778 0.000
Sc3 Sc 0.324 0.097 0.626
Sc4 Sc 0.409 0.409 0.202
Sc5 Sc 0.591 0.591 0.798
Sc6 Sc 0.676 0.903 0.374
Sc7 Sc 0.778 0.222 0.000
Sc8 Sc 0.903 0.676 0.374
Cd1 Cd 0.305 0.695 0.500
Cd2 Cd 0.695 0.305 0.500
Bi1 Bi 0.000 0.000 0.000
```



No. 8
DFT (PBE) results for a relaxed structure of TaAl2Ga2.

Summary:
Symmetry: P4/mbm
ΔH_f (0 K) (eV/atom): 0.168
Fermi-level density of states (states/eV/f.u.): 3.03
Crystal system: tetragonal

CIF file:
```
data_TaAl2Ga2
_space_group_name_H-M_alt 'P 1'
_space_group_IT_number 1
_space_group_name_Hall 'P 1'
_cell_length_a 7.103
_cell_length_b 7.103
_cell_length_c 3.368
_cell_angle_alpha 90.00
_cell_angle_beta 90.00
_cell_angle_gamma 90.00
loop_
_atom_site_label
_atom_site_type_symbol
_atom_site_fract_x
_atom_site_fract_y
_atom_site_fract_z
Ta1 Ta 0.000 0.000 0.000
Ta2 Ta 0.500 0.500 0.000
Al1 Al 0.132 0.368 0.000
Al2 Al 0.368 0.868 0.000
Al3 Al 0.632 0.132 0.000
Al4 Al 0.868 0.632 0.000
Ga1 Ga 0.168 0.668 0.500
Ga2 Ga 0.332 0.168 0.500
Ga3 Ga 0.668 0.832 0.500
Ga4 Ga 0.832 0.332 0.500
```



No. 9
DFT (PBE) results for a relaxed structure of ZrTaMo2.

Summary:
Energy above the most stable polymorph in this dataset (meV per atom): 103
Symmetry: P2/m
ΔH_f (0 K) (eV/atom): 0.029
Fermi-level density of states (states/eV/f.u.): 5.04
Crystal system: monoclinic

CIF file:
```
data_ZrTaMo2
_space_group_name_H-M_alt 'P 1'
_space_group_IT_number 1
_space_group_name_Hall 'P 1'
_cell_length_a 2.885
_cell_length_b 4.462
_cell_length_c 5.576
_cell_angle_alpha 90.00
_cell_angle_beta 98.03
_cell_angle_gamma 90.00
loop_
_atom_site_label
_atom_site_type_symbol
_atom_site_fract_x
_atom_site_fract_y
_atom_site_fract_z
Zr1 Zr 0.000 0.000 0.000
Ta1 Ta 0.500 0.000 0.500
Mo1 Mo 0.250 0.500 0.741
Mo2 Mo 0.750 0.500 0.259
```



No. 10
DFT (PBE) results for a relaxed structure of LiPaC2O8.

Summary:
Symmetry: P-3
Fermi-level density of states (states/eV/f.u.): 6.25
Final energy (eV/f.u.): -88.799
Crystal system: trigonal

CIF file:
```
data_LiPaC2O8
_space_group_name_H-M_alt 'P 1'
_space_group_IT_number 1
_space_group_name_Hall 'P 1'
_cell_length_a 5.181
_cell_length_b 5.181
_cell_length_c 6.599
_cell_angle_alpha 90.00
_cell_angle_beta 90.00
_cell_angle_gamma 120.00
loop_
_atom_site_label
_atom_site_type_symbol
_atom_site_fract_x
_atom_site_fract_y
_atom_site_fract_z
Li1 Li 0.000 0.000 0.000
Pa1 Pa 0.000 0.000 0.500
C1 C 0.333 0.667 0.776
C2 C 0.667 0.333 0.224
O1 O 0.184 0.373 0.706
O2 O 0.189 0.816 0.706
O3 O 0.333 0.667 0.982
O4 O 0.373 0.189 0.294
O5 O 0.627 0.811 0.706
O6 O 0.667 0.333 0.018
O7 O 0.811 0.184 0.294
O8 O 0.816 0.627 0.294
```



No. 11
DFT (PBE) results for a relaxed structure of SnHgS.

Summary:
Energy above the most stable polymorph in this dataset (meV per atom): 0
Symmetry: P2_1/m
Crystal system: monoclinic

CIF file:
```
data_SnHgS
_space_group_name_H-M_alt 'P 1'
_space_group_IT_number 1
_space_group_name_Hall 'P 1'
_cell_length_a 6.415
_cell_length_b 3.937
_cell_length_c 7.746
_cell_angle_alpha 90.00
_cell_angle_beta 112.74
_cell_angle_gamma 90.00
loop_
_atom_site_label
_atom_site_type_symbol
_atom_site_fract_x
_atom_site_fract_y
_atom_site_fract_z
Sn1 Sn 0.249 0.250 0.006
Sn2 Sn 0.751 0.750 0.994
Hg1 Hg 0.081 0.250 0.371
Hg2 Hg 0.919 0.750 0.629
S1 S 0.495 0.250 0.795
S2 S 0.505 0.750 0.205
```



No. 12
DFT (PBE) results for a relaxed structure of B2C.

Summary:
Energy above the most stable polymorph in this dataset (meV per atom): 190
Symmetry: Pm
ΔH_f (0 K) (eV/atom): 0.375
Fermi-level density of states (states/eV/f.u.): 0.44
Crystal system: monoclinic

CIF file:
```
data_B2C
_space_group_name_H-M_alt 'P 1'
_space_group_IT_number 1
_space_group_name_Hall 'P 1'
_cell_length_a 4.779
_cell_length_b 2.647
_cell_length_c 8.395
_cell_angle_alpha 90.00
_cell_angle_beta 90.35
_cell_angle_gamma 90.00
loop_
_atom_site_label
_atom_site_type_symbol
_atom_site_fract_x
_atom_site_fract_y
_atom_site_fract_z
B1 B 0.000 0.000 0.000
B2 B 0.017 0.000 0.208
B3 B 0.174 0.500 0.529
B4 B 0.211 0.500 0.005
B5 B 0.336 0.000 0.326
B6 B 0.511 0.500 0.219
B7 B 0.674 0.000 0.527
B8 B 0.846 0.500 0.325
C1 C 0.344 0.000 0.515
C2 C 0.534 0.500 0.023
C3 C 0.686 0.000 0.003
C4 C 0.845 0.500 0.513
```



| no. | total moment (μB/atom) |
| --- | --- |
| 1 | 0.00 |
| 2 | 0.00 |
| 3 | 0.00 |
| 4 | 0.46 |
| 5 | 0.00 |
| 6 | 0.00 |
| 7 | 0.12 |
| 8 | 0.00 |
| 9 | 0.00 |
| 10 | 0.17 |
| 11 | 0.00 |
| 12 | 0.00 |